TbY4Sc: relaxed, PBE.

Geometry as POSCAR:
```
TbY4Sc
1.0
-0.522 5.780 -0.185
-4.836 2.377 -3.188
-8.056 2.241 1.636
Tb Y Sc
1 4 1
Direct
0.500 0.500 0.500
0.662 0.678 0.997
0.338 0.322 0.003
0.161 0.176 0.503
0.839 0.824 0.497
0.000 0.000 0.000
```

**Calculated volume**: 31.14 A^3/atom
**Polymorph energy (0 for the lowest one)**: 0 meV/atom
**D(E_F)**: 14.35 states/eV per cell
**Electronic total energy**: -0.221 Ha/atom
**Formation enthalpy at 0 K**: 12.6 kJ/mol of atoms
**Symmetry**: C2/m (12)

***

Tb2Y3Sc2: relaxed, PBE.

Geometry as POSCAR:
```
Tb2Y3Sc2
1.0
-1.537 0.817 -2.964
-2.558 -4.566 0.069
-9.996 2.689 5.928
Tb Y Sc
2 3 2
Direct
0.500 0.285 0.429
0.500 0.715 0.571
0.500 0.425 0.151
0.500 0.575 0.849
0.000 0.000 0.000
0.000 0.151 0.698
0.000 0.849 0.302
```

**Calculated volume**: 29.91 A^3/atom
**Polymorph energy (0 for the lowest one)**: 0 meV/atom
**D(E_F)**: 13.92 states/eV per cell
**Electronic total energy**: -0.214 Ha/atom
**Formation enthalpy at 0 K**: 7.9 kJ/mol of atoms
**Symmetry**: Cmmm (65)

***

TbY2Sc: relaxed, PBE.

Geometry as POSCAR:
```
TbY2Sc
1.0
-1.363 0.349 3.213
-2.575 -2.136 1.054
6.376 -7.864 5.476
Y Sc Tb
2 1 1
Direct
0.253 0.253 0.241
0.747 0.747 0.759
0.000 0.000 0.000
0.500 0.500 0.500
```

**Calculated volume**: 30.18 A^3/atom
**Polymorph energy (0 for the lowest one)**: 28 meV/atom
**D(E_F)**: 6.63 states/eV per cell
**Electronic total energy**: -0.218 Ha/atom
**Formation enthalpy at 0 K**: 5.0 kJ/mol of atoms
**Symmetry**: R-3m (166)

***

Tb2Y6Sc: relaxed, PBE.

Geometry as POSCAR:
```
Tb2Y6Sc
1.0
-1.779 5.462 3.689
-10.439 0.633 0.337
-6.123 -3.074 7.908
Tb Y Sc
4 12 2
Direct
0.086 0.664 0.665
0.414 0.335 0.336
0.914 0.336 0.335
0.586 0.665 0.664
0.485 0.689 0.340
0.015 0.660 0.311
0.515 0.311 0.660
0.985 0.340 0.689
0.851 0.987 0.311
0.649 0.689 0.013
0.149 0.013 0.689
0.351 0.311 0.987
0.183 0.646 0.988
0.317 0.012 0.354
0.817 0.354 0.012
0.683 0.988 0.646
0.250 0.000 0.000
0.750 0.000 0.000
```

**Calculated volume**: 31.20 A^3/atom
**Polymorph energy (0 for the lowest one)**: 29 meV/atom
**D(E_F)**: 29.61 states/eV per cell
**Electronic total energy**: -0.219 Ha/atom
**Formation enthalpy at 0 K**: 8.1 kJ/mol of atoms
**Symmetry**: Ibam (72)

***

Tb2Y3Sc2: relaxed, PBE.

Geometry as POSCAR:
```
Tb2Y3Sc2
1.0
3.412 0.000 0.000
0.000 8.401 -0.698
-1.706 -3.494 7.705
Tb Y Sc
2 3 2
Direct
0.859 0.688 0.719
0.141 0.312 0.281
0.000 0.500 0.000
0.212 0.805 0.424
0.788 0.195 0.576
0.564 0.910 0.128
0.436 0.090 0.872
```

**Calculated volume**: 30.36 A^3/atom
**Polymorph energy (0 for the lowest one)**: 51 meV/atom
**D(E_F)**: 12.31 states/eV per cell
**Electronic total energy**: -0.212 Ha/atom
**Formation enthalpy at 0 K**: 12.9 kJ/mol of atoms
**Symmetry**: C2/m (12)

***

Tb7Y3Sc: relaxed, PBE.

Geometry as POSCAR:
```
Tb7Y3Sc
1.0
-5.008 0.266 8.360
-1.833 -0.929 -9.529
7.729 -10.395 2.066
Tb Y Sc
14 6 2
Direct
0.085 0.914 0.250
0.086 0.915 0.750
0.120 0.440 0.528
0.120 0.440 0.027
0.560 0.880 0.973
0.560 0.880 0.472
0.501 0.501 0.750
0.499 0.499 0.250
0.440 0.120 0.027
0.440 0.120 0.528
0.880 0.560 0.973
0.880 0.560 0.472
0.914 0.085 0.250
0.915 0.086 0.750
0.000 0.500 0.750
0.000 0.000 0.000
0.000 0.000 0.500
0.500 0.000 0.250
0.500 0.000 0.750
0.000 0.500 0.250
0.500 0.500 0.000
0.500 0.500 0.500
```

**Calculated volume**: 32.11 A^3/atom
**Polymorph energy (0 for the lowest one)**: 0 meV/atom
**D(E_F)**: 35.52 states/eV per cell
**Electronic total energy**: -0.189 Ha/atom
**Formation enthalpy at 0 K**: 14.3 kJ/mol of atoms
**Symmetry**: C2/m (12)

***

TbY2Sc6: relaxed, PBE.

Geometry as POSCAR:
```
TbY2Sc6
1.0
-2.604 -1.981 -0.477
4.157 -6.628 4.832
-2.808 8.073 4.742
Tb Y Sc
1 2 6
Direct
0.000 0.000 0.000
0.333 0.667 0.333
0.667 0.333 0.667
0.833 0.333 0.333
0.167 0.000 0.667
0.167 0.667 0.667
0.500 0.333 0.000
0.833 0.000 0.333
0.500 0.667 0.000
```

**Calculated volume**: 26.91 A^3/atom
**D(E_F)**: 18.94 states/eV per cell
**Electronic total energy**: -0.224 Ha/atom
**Formation enthalpy at 0 K**: 6.5 kJ/mol of atoms
**Symmetry**: P6/mmm (191)

***

TbY12Sc5: relaxed, PBE.

Geometry as POSCAR:
```
TbY12Sc5
1.0
0.941 1.040 5.912
2.497 -4.853 -2.669
14.835 7.861 -2.708
Tb Y Sc
1 12 5
Direct
0.000 0.000 0.000
0.112 0.112 0.662
0.888 0.888 0.338
0.283 0.283 0.165
0.717 0.717 0.835
0.609 0.946 0.165
0.054 0.391 0.835
0.946 0.609 0.165
0.391 0.054 0.835
0.554 0.221 0.339
0.221 0.554 0.339
0.779 0.446 0.661
0.446 0.779 0.661
0.500 0.500 0.500
0.834 0.166 0.500
0.166 0.834 0.500
0.333 0.667 0.000
0.667 0.333 0.000
```

**Calculated volume**: 29.98 A^3/atom
**D(E_F)**: 26.87 states/eV per cell
**Electronic total energy**: -0.231 Ha/atom
**Formation enthalpy at 0 K**: 4.4 kJ/mol of atoms
**Symmetry**: C2/m (12)